# LiZnPb

A geometry-optimized LiZnPb structure (PBE-GGA, OQMD via LeMat-Bulk).

abc: 6.494 6.494 6.494
angles: 90.00 90.00 90.00
Space group F-43m (No. 216)
Symmetry-distinct sites (fractional):
Li 0.000 0.000 0.000
Zn 0.000 0.000 0.500
Pb 0.250 0.250 0.250

Values from the calculation:
**Energy**: -2.31 eV/atom
**Crystal system**: cubic
**Volume**: 22.82 Å³ per atom

=====

# MgZrTeW

A geometry-optimized MgZrTeW structure (PBE-GGA, OQMD via LeMat-Bulk).

abc: 6.759 6.759 6.759
angles: 90.00 90.00 90.00
Space group F-43m (No. 216)
Symmetry-distinct sites (fractional):
Mg 0.000 0.000 0.000
Zr 0.250 0.250 0.750
Te 0.250 0.250 0.250
W 0.000 0.000 0.500

Values from the calculation:
**Offset from the most stable computed form**: 0 meV per atom
**Total magnetic moment**: 0.01 μB/f.u.
**Energy**: -6.20 eV/atom
**Crystal system**: cubic
**Volume**: 19.30 Å³ per atom

=====

# Pm2SeS

A geometry-optimized Pm2SeS structure (PBE-GGA, OQMD via LeMat-Bulk).

abc: 4.117 4.117 5.824
angles: 90.00 90.00 90.00
Space group P4/mmm (No. 123)
Symmetry-distinct sites (fractional):
Pm 0.000 0.000 0.000
Pm 0.500 0.500 0.500
Se 0.000 0.000 0.500
S 0.500 0.500 0.000

Values from the calculation:
**Total magnetic moment**: 0.01 μB/f.u.
**Energy**: -6.19 eV/atom
**Crystal system**: tetragonal
**Volume**: 24.67 Å³ per atom

=====

# ZrAl

A geometry-optimized ZrAl structure (PBE-GGA, OQMD via LeMat-Bulk).

abc: 4.908 8.270 5.758
angles: 90.00 90.00 90.00
Space group Pmc2_1 (No. 26)
Symmetry-distinct sites (fractional):
Zr 0.000 0.000 0.000
Zr 0.000 0.351 0.249
Zr 0.500 0.187 0.750
Al 0.000 0.318 0.748
Al 0.500 0.157 0.250
Al 0.500 0.499 0.499

Values from the calculation:
**Total magnetic moment**: 0.00 μB/f.u.
**Energy**: -6.50 eV/atom
**Crystal system**: orthorhombic
**Volume**: 19.48 Å³ per atom

=====

# Sr2Al4PtAu

A geometry-optimized Sr2Al4PtAu structure (PBE-GGA, OQMD via LeMat-Bulk).

abc: 7.395 4.283 11.473
angles: 90.00 90.00 90.00
Space group Amm2 (No. 38)
Symmetry-distinct sites (fractional):
Sr 0.000 0.000 0.000
Sr 0.500 0.000 0.104
Al 0.197 0.000 0.724
Al 0.315 0.000 0.381
Pt 0.500 0.000 0.832
Au 0.000 0.000 0.275

Values from the calculation:
**Total magnetic moment**: 0.00 μB/f.u.
**Energy**: -4.12 eV/atom
**Crystal system**: orthorhombic
**Volume**: 22.71 Å³ per atom

=====

# Nd2GdZn3Ir2Pt

A geometry-optimized Nd2GdZn3Ir2Pt structure (PBE-GGA, OQMD via LeMat-Bulk).

abc: 3.980 12.585 7.299
angles: 90.00 90.00 90.00
Space group Amm2 (No. 38)
Symmetry-distinct sites (fractional):
Nd 0.000 0.206 0.000
Gd 0.000 0.000 0.614
Zn 0.500 0.000 0.956
Zn 0.500 0.123 0.332
Ir 0.500 0.162 0.704
Pt 0.000 0.000 0.209

Values from the calculation:
**Total magnetic moment**: 0.01 μB/f.u.
**Energy**: -5.36 eV/atom
**Crystal system**: orthorhombic
**Formation energy**: -0.721 eV/atom
**Volume**: 20.31 Å³ per atom

=====

What is the formula in the sixth record? Nd2GdZn3Ir2Pt